# 1
VASP calculation (PBE) on a geometry-optimized KCd2Tc structure.

The structure in POSCAR format:
```
KCd2Tc
1.0
4.786 -1.408 0.000
4.786 1.408 0.000
-0.513 0.000 7.295
K Cd Tc
1 2 1
Direct
0.000 0.000 0.000
0.238 0.238 0.680
0.762 0.762 0.320
0.500 0.500 0.500
```

The value obtained for the formation energy is 2.38 eV/f.u. The space-group type is C2/m.

# 2
VASP calculation (PBE) on a geometry-optimized CsNb3O8 structure.

The structure in POSCAR format:
```
CsNb3O8
1.0
5.960 0.000 0.000
-2.980 5.161 0.000
0.000 0.000 8.339
Cs Nb O
1 3 8
Direct
0.000 0.000 0.000
0.000 0.000 0.500
0.333 0.667 0.711
0.667 0.333 0.289
0.152 0.314 0.641
0.162 0.848 0.641
0.314 0.162 0.359
0.333 0.667 0.924
0.667 0.333 0.076
0.686 0.838 0.641
0.838 0.152 0.359
0.848 0.686 0.359
```

The space-group type is P-3. The formation energy (no corrections) comes out at -239 kJ/mol of atoms.